Material: LuScAu
Method: DFT, GGA-PBE
State: optimized geometry

## Properties
As for the formation energy: -453 meV/atom. Its total energy is -5.16 eV/atom. The space group is F-43m. The calculation puts the excess energy over the best structure of this formula in the dataset at 0.000 eV/atom.

abc: 4.7450 4.7450 4.7450
angles: 60.00 60.00 60.00
Last column: nearest neighbours and their distance in Å.
Sites, in units of the cell vectors:
Lu: 0.0000 0.0000 0.0000  4 Au 2.91
Sc: 0.5000 0.5000 0.5000  4 Au 2.91
Au: 0.2500 0.2500 0.2500  4 Sc 2.91, 4 Lu 2.91